LaYGeRh | GGA-PBE | relaxed

Results
The total magnetization is 0.000 μB per cell. For the energy above the most stable polymorph in this dataset, the calculation gives 0.00 eV per formula unit. The value obtained for the formation energy from the elements is -831 meV/atom.

Cell: 4.3815 4.3666 10.0693 Å, 90.00 90.00 90.00°
Last column: nearest neighbours and their distance in Å.
Space group Amm2 (No. 38)
Symmetry-distinct sites (fractional):
1 La 0.0000 0.0000 0.0000 (multiplicity 2)  1 Rh 2.68
2 Y 0.5000 0.0000 0.7128 (multiplicity 2)  3 Ge 2.97-3.02, 4 Rh 3.14
3 Ge 0.5000 0.0000 0.4127 (multiplicity 2)  2 Rh 2.64
4 Rh 0.0000 0.0000 0.2664 (multiplicity 2)  2 Ge 2.64, 1 La 2.68

***

KSmSO | GGA-PBE | relaxed

Results
The total magnetization is 0.000 μB per cell. As for the raw formation energy: -2189.0 meV per atom.

Cell: 3.8324 3.8324 20.8597 Å, 90.00 90.00 120.00°
Last column: nearest neighbours and their distance in Å.
Space group R3m (No. 160, hexagonal axes)
Symmetry-distinct sites (fractional):
1 K 0.0000 0.0000 0.0000 (multiplicity 3)  3 S 3.04, 3 O 3.09
2 Sm 0.0000 0.0000 0.5159 (multiplicity 3)  3 O 2.42
3 S 0.0000 0.0000 0.7669 (multiplicity 3)  3 Sm 2.80, 3 K 3.04
4 O 0.0000 0.0000 0.2299 (multiplicity 3)  3 Sm 2.42